Computed, not measured: an optimized crystal structure of Mg2SnRu at the PBE-GGA level of DFT.

The space group is R-3m (No. 166, hexagonal axes) and the conventional cell measures 2.9872, 2.9872 and 32.3021 Å, with angles of 90.00, 90.00 and 120.00 degrees. The asymmetric unit holds Mg at (0.0000, 0.0000, 0.0796), Sn at (0.0000, 0.0000, 0.5000) and Ru at (0.0000, 0.0000, 0.0000).

The calculated density is 5.36 g/cm³. The value obtained for the uncorrected energy is -3.621 eV/atom. For the energy relative to the elements, the calculation gives 0.496 eV/atom. The volume comes out at 20.80 A^3/atom.


Computed, not measured: an optimized crystal structure of MgSnRu3 at the PBE-GGA level of DFT.

The space group is Pm-3m (No. 221) and the conventional cell measures 4.5197, 4.5197 and 4.5197 Å, with angles of 90.00, 90.00 and 90.00 degrees. The asymmetric unit holds Mg at (0.0000, 0.0000, 0.0000), Sn at (0.5000, 0.5000, 0.5000) and Ru at (0.0000, 0.0000, 0.5000).

The calculated density is 8.03 g/cm³. The value obtained for the uncorrected energy is -5.331 eV/atom. For the energy relative to the elements, the calculation gives 1.354 eV/atom. The volume comes out at 18.47 A^3/atom.